Cr2PtPbO8 (PBE with a Hubbard U, relaxed); uncorrected energy = -76.13 eV for the cell shown; DOS at the Fermi energy = 4.7 states/eV/cell; size of the total moment = 0.167 μB per atom; space group = No. 147
1.0
5.127 0.000 0.000
-2.564 4.440 0.000
0.000 0.000 7.317
O Pt Pb Cr
8 1 1 2
Direct
0.682 0.711 0.673
0.333 0.667 0.967
0.971 0.682 0.327
0.667 0.333 0.033
0.289 0.971 0.673
0.318 0.289 0.327
0.029 0.318 0.673
0.711 0.029 0.327
0.000 0.000 0.500
0.000 0.000 0.000
0.667 0.333 0.262
0.333 0.667 0.738